Li2VTcTe: optimized geometry, PBE-GGA.

Properties
Calculated density   4.78 g/cm³
Uncorrected energy   -22.9 eV/cell
D(E_F)   4.3 states/eV/cell

Lattice parameters (Å, degrees): 4.8471 4.8471 4.2947 90.00 90.00 90.00
Space group P4/mmm (No. 123)
One atom of each set of equivalent atoms:
Li: 0.0000 0.5000 0.0000
V: 0.0000 0.0000 0.5000
Tc: 0.0000 0.0000 0.0000
Te: 0.5000 0.5000 0.5000


Mg4Cl: optimized geometry, PBE-GGA.

Properties
Calculated density   1.68 g/cm³
Uncorrected energy   -7.9 eV/cell
D(E_F)   3.2 states/eV/cell

Lattice parameters (Å, degrees): 5.0792 5.0792 5.0792 90.00 90.00 90.00
Space group Pm-3m (No. 221)
One atom of each set of equivalent atoms:
Mg: 0.0000 0.0000 0.0000
Mg: 0.0000 0.5000 0.5000
Cl: 0.5000 0.5000 0.5000


BeSeN2O: optimized geometry, PBE-GGA.

Properties
Calculated density   3.10 g/cm³
Uncorrected energy   -23.3 eV/cell
D(E_F)   2.5 states/eV/cell

Lattice parameters (Å, degrees): 3.1442 3.1442 7.1448 90.00 90.00 90.00
Space group P4/mmm (No. 123)
One atom of each set of equivalent atoms:
Be: 0.0000 0.0000 0.0000
Se: 0.0000 0.0000 0.5000
N: 0.0000 0.5000 0.0000
O: 0.5000 0.5000 0.5000


Pr5PuSe6: optimized geometry, PBE-GGA.

Properties
Calculated density   7.27 g/cm³
Uncorrected energy   -161.5 eV/cell
D(E_F)   28.4 states/eV/cell

Lattice parameters (Å, degrees): 7.3414 12.7321 7.3713 90.00 109.41 90.00
Space group C2/m (No. 12)
One atom of each set of equivalent atoms:
Pr: 0.0000 0.0000 0.0000
Pr: 0.0000 0.1674 0.5000
Pr: 0.0000 0.3291 0.0000
Pu: 0.0000 0.5000 0.5000
Se: 0.2440 0.5000 0.2516
Se: 0.2453 0.3368 0.7457


TiOsRuS: optimized geometry, PBE-GGA.

Properties
Calculated density   10.34 g/cm³
ΔE to the lowest computed polymorph   0.592 eV per formula unit
Uncorrected energy   -66.6 eV/cell
D(E_F)   5.4 states/eV/cell

Lattice parameters (Å, degrees): 8.9948 2.9090 4.7997 90.00 108.32 90.00
Space group Cm (No. 8)
One atom of each set of equivalent atoms:
Ti: 0.0000 0.0000 0.0000
Os: 0.3598 0.0000 0.4257
Ru: 0.1546 0.5000 0.5833
S: 0.2282 0.5000 0.0583


MgH3Rh: optimized geometry, PBE-GGA.

Properties
Calculated density   4.70 g/cm³
Uncorrected energy   -18.7 eV/cell
D(E_F)   0.5 states/eV/cell

Lattice parameters (Å, degrees): 3.2361 3.2361 4.3890 90.00 90.00 90.00
Space group P4mm (No. 99)
One atom of each set of equivalent atoms:
Mg: 0.0000 0.0000 0.0000
H: 0.0000 0.0000 0.5790
H: 0.0000 0.5000 0.2638
Rh: 0.5000 0.5000 0.4213


ZrNb2In: optimized geometry, PBE-GGA.

Properties
Calculated density   7.51 g/cm³
Uncorrected energy   -116.3 eV/cell
Formation enthalpy at 0 K   0.59 eV per atom
D(E_F)   22.6 states/eV/cell

Lattice parameters (Å, degrees): 7.7678 7.7678 5.7460 90.00 90.00 90.00
Space group I-42d (No. 122)
One atom of each set of equivalent atoms:
Zr: 0.0000 0.0000 0.0000
Nb: 0.2437 0.2500 0.6250
In: 0.0000 0.0000 0.5000


BeB2PdBr: optimized geometry, PBE-GGA.

Properties
Calculated density   5.07 g/cm³
Uncorrected energy   -18.5 eV/cell
D(E_F)   2.4 states/eV/cell

Lattice parameters (Å, degrees): 3.6665 3.6665 5.2870 90.00 90.00 90.00
Space group P4/mmm (No. 123)
One atom of each set of equivalent atoms:
Be: 0.0000 0.0000 0.0000
B: 0.0000 0.5000 0.0000
Pd: 0.0000 0.0000 0.5000
Br: 0.5000 0.5000 0.5000


SrCd4As: optimized geometry, PBE-GGA.

Properties
Calculated density   6.62 g/cm³
Uncorrected energy   -41.9 eV/cell
Formation enthalpy at 0 K   -0.08 eV per atom
D(E_F)   14.3 states/eV/cell

Lattice parameters (Å, degrees): 8.5021 8.5021 8.5021 90.00 90.00 90.00
Space group F-43m (No. 216)
One atom of each set of equivalent atoms:
Sr: 0.0000 0.0000 0.0000
Cd: 0.1241 0.1241 0.3759
As: 0.2500 0.2500 0.7500


Ca4BeBr: optimized geometry, PBE-GGA.

Properties
Calculated density   1.84 g/cm³
Uncorrected energy   -42.4 eV/cell
D(E_F)   34.9 states/eV/cell

Lattice parameters (Å, degrees): 9.6585 9.6585 9.6585 90.00 90.00 90.00
Space group F-43m (No. 216)
One atom of each set of equivalent atoms:
Ca: 0.1240 0.1240 0.1240
Be: 0.2500 0.2500 0.7500
Br: 0.0000 0.0000 0.5000


TaMoW2: optimized geometry, PBE-GGA.

Properties
Calculated density   14.92 g/cm³
ΔE to the lowest computed polymorph   4.028 eV per formula unit
Uncorrected energy   -90.2 eV/cell
Formation enthalpy at 0 K   0.88 eV per atom
D(E_F)   5.9 states/eV/cell

Lattice parameters (Å, degrees): 3.0230 4.4976 10.5559 90.00 90.00 90.00
Space group Immm (No. 71)
One atom of each set of equivalent atoms:
Ta: 0.0000 0.0000 0.0000
Mo: 0.0000 0.0000 0.5000
W: 0.0000 0.0000 0.2586


CdAgRu2: optimized geometry, PBE-GGA.

Properties
Calculated density   9.71 g/cm³
Uncorrected energy   -72.8 eV/cell
Formation enthalpy at 0 K   1.03 eV per atom
D(E_F)   28.0 states/eV/cell

Lattice parameters (Å, degrees): 7.4830 7.4830 5.1602 90.00 90.00 90.00
Space group I-42d (No. 122)
One atom of each set of equivalent atoms:
Cd: 0.0000 0.0000 0.0000
Ag: 0.0000 0.0000 0.5000
Ru: 0.2420 0.7500 0.6250